# 1
The following is a DFT calculation (PBE) of crystalline InPtC2 at its relaxed geometry.

The structure belongs to space group I-42d (No. 122); the cell edges are 4.9824, 4.9824 and 9.7702 Å and the angles 90.00°, 90.00° and 90.00°. Symmetry generates all atoms from In at (0.0000, 0.0000, 0.0000), Pt at (0.0000, 0.0000, 0.5000) and C at (0.2048, 0.2500, 0.6250).

The density of states at the Fermi level comes out at 0.530 states/eV/atom. The uncorrected energy is -5.6426 eV/atom. The value obtained for the magnetic moment is 0.00 Bohr magnetons per cell. The value obtained for the formation energy is 1.164 eV per atom.

***

# 2
The following is a DFT calculation (PBE) of crystalline In3PtC at its relaxed geometry.

The structure belongs to space group Pm-3m (No. 221); the cell edges are 5.1780, 5.1780 and 5.1780 Å and the angles 90.00°, 90.00° and 90.00°. Symmetry generates all atoms from In at (0.0000, 0.0000, 0.5000), Pt at (0.0000, 0.0000, 0.0000) and C at (0.5000, 0.5000, 0.5000).

The density of states at the Fermi level comes out at 0.291 states/eV/atom. The uncorrected energy is -3.6696 eV/atom. The value obtained for the magnetic moment is 2.81 Bohr magnetons per cell. The value obtained for the offset from the most stable computed form is 311.6 meV per atom. The value obtained for the formation energy is 1.026 eV per atom.

***

# 3
The following is a DFT calculation (PBE) of crystalline In3PtC at its relaxed geometry.

The structure belongs to space group Pm-3m (No. 221); the cell edges are 4.6234, 4.6234 and 4.6234 Å and the angles 90.00°, 90.00° and 90.00°. Symmetry generates all atoms from In at (0.0000, 0.0000, 0.5000), Pt at (0.5000, 0.5000, 0.5000) and C at (0.0000, 0.0000, 0.0000).

The density of states at the Fermi level comes out at 0.393 states/eV/atom. The uncorrected energy is -3.9812 eV/atom. The value obtained for the magnetic moment is 0.00 Bohr magnetons per cell. The value obtained for the offset from the most stable computed form is 0.0 meV per atom. The value obtained for the formation energy is 0.715 eV per atom.

***

# 4
The following is a DFT calculation (PBE) of crystalline InPt2C2 at its relaxed geometry.

The structure belongs to space group P4/mbm (No. 127); the cell edges are 7.3224, 7.3224 and 3.0900 Å and the angles 90.00°, 90.00° and 90.00°. Symmetry generates all atoms from In at (0.0000, 0.0000, 0.0000), Pt at (0.1467, 0.3533, 0.0000) and C at (0.0666, 0.5666, 0.5000).

The density of states at the Fermi level comes out at 0.452 states/eV/atom. The uncorrected energy is -5.3767 eV/atom. The value obtained for the magnetic moment is 0.00 Bohr magnetons per cell. The value obtained for the offset from the most stable computed form is 269.2 meV per atom. The value obtained for the formation energy is 1.277 eV per atom.

***

# 5
The following is a DFT calculation (PBE) of crystalline InPt2C2 at its relaxed geometry.

The structure belongs to space group I4/mmm (No. 139); the cell edges are 3.6637, 3.6637 and 12.1730 Å and the angles 90.00°, 90.00° and 90.00°. Symmetry generates all atoms from In at (0.0000, 0.0000, 0.0000), Pt at (0.0000, 0.0000, 0.3299) and C at (0.0000, 0.5000, 0.2500).

The density of states at the Fermi level comes out at 0.392 states/eV/atom. The uncorrected energy is -5.6458 eV/atom. The value obtained for the magnetic moment is 0.00 Bohr magnetons per cell. The value obtained for the offset from the most stable computed form is 0.0 meV per atom. The value obtained for the formation energy is 1.008 eV per atom.

***

# 6
The following is a DFT calculation (PBE) of crystalline In2PtC at its relaxed geometry.

The structure belongs to space group I-42d (No. 122); the cell edges are 5.7632, 5.7632 and 10.5298 Å and the angles 90.00°, 90.00° and 90.00°. Symmetry generates all atoms from In at (0.1767, 0.2500, 0.1250), Pt at (0.0000, 0.0000, 0.5000) and C at (0.0000, 0.0000, 0.0000).

The density of states at the Fermi level comes out at 0.000 states/eV/atom. The uncorrected energy is -4.5276 eV/atom. The value obtained for the magnetic moment is 0.00 Bohr magnetons per cell. The value obtained for the formation energy is 0.658 eV per atom.